The following is a GGA-PBE calculation of a geometry-optimized SnBPCl2 structure, from Alexandria via LeMat-Bulk.

Geometry as POSCAR:
```
SnBPCl2
1.0
4.352 0.000 0.000
0.000 4.352 0.000
0.000 0.000 4.683
Sn B P Cl
1 1 1 2
Cartesian
0.000 0.000 0.000
2.176 2.176 2.342
2.176 2.176 0.000
0.000 2.176 2.342
2.176 0.000 2.342
```

Calculated values
* density: 4.3 g/cm3
* magnetic moment: 0.0 μB/cell
* raw formation energy: 0.383 eV per atom
* distance to the lowest polymorph of the same formula: 0 meV/atom
* Fermi-level density of states: 1.4 states/eV/cell
* symmetry: No. 123